# 1
First-principles (GGA-PBE) data for a relaxed structure of Th5CdIn4, as listed in the Alexandria database.

Unit cell a=3.4950 b=3.4950 c=23.2839 alpha=90.00 beta=90.00 gamma=90.00
Closest atoms and distances in Å follow each position.
Space group P4/mmm (No. 123)
Asymmetric unit:
Th  0.0000  0.0000  0.0000 (multiplicity 1)  8 In 3.40, 4 Th 3.50
Th  0.0000  0.0000  0.2002 (multiplicity 2)  8 In 3.40, 4 Th 3.50
Th  0.0000  0.0000  0.4000 (multiplicity 2)  4 In 3.39, 4 Cd 3.40, 4 Th 3.50
Cd  0.5000  0.5000  0.5000 (multiplicity 1)  8 Th 3.40, 4 Cd 3.50
In  0.5000  0.5000  0.1001 (multiplicity 2)  8 Th 3.40, 4 In 3.50
In  0.5000  0.5000  0.3003 (multiplicity 2)  8 Th 3.39-3.40, 4 In 3.50

Volume, Å³ per atom: 28.442

---

# 2
First-principles (GGA-PBE) data for a relaxed structure of Th6CdIn, as listed in the Alexandria database.

Unit cell a=5.7923 b=5.7923 c=14.4611 alpha=90.00 beta=90.00 gamma=90.00
Closest atoms and distances in Å follow each position.
Space group I4/mmm (No. 139)
Asymmetric unit:
Th  0.0000  0.0000  0.2478 (multiplicity 4)  8 Th 3.45-3.49, 1 In 3.58, 1 Cd 3.65
Th  0.0000  0.5000  0.1181 (multiplicity 8)  2 Cd 3.36, 2 In 3.36, 5 Th 3.41-3.49
Cd  0.0000  0.0000  0.5000 (multiplicity 2)  10 Th 3.36-3.65
In  0.0000  0.0000  0.0000 (multiplicity 2)  10 Th 3.36-3.58

Volume, Å³ per atom: 30.324

---

# 3
First-principles (GGA-PBE) data for a relaxed structure of Th3Cd4In2, as listed in the Alexandria database.

Unit cell a=11.2818 b=5.0801 c=9.4902 alpha=90.00 beta=119.66 gamma=90.00
Closest atoms and distances in Å follow each position.
Space group C2/m (No. 12)
Asymmetric unit:
Th  0.0000  0.0000  0.0000 (multiplicity 2)  8 Cd 3.40-3.47, 4 In 3.42, 2 Th 3.51
Th  0.1668  0.5000  0.6682 (multiplicity 4)  8 Cd 3.37-3.45, 4 In 3.42-3.44, 2 Th 3.51-3.53
Cd  0.0602  0.0000  0.3956 (multiplicity 4)  1 Cd 2.91, 2 In 2.94
Cd  0.2182  0.5000  0.0494 (multiplicity 4)  2 Cd 2.92, 1 In 2.96
In  0.1109  0.5000  0.2775 (multiplicity 4)  3 Cd 2.94-2.96

Volume, Å³ per atom: 26.258

---

# 4
First-principles (GGA-PBE) data for a relaxed structure of ThCd2In3, as listed in the Alexandria database.

Unit cell a=4.6654 b=14.0889 c=4.6670 alpha=90.00 beta=90.00 gamma=90.00
Closest atoms and distances in Å follow each position.
Space group Cmmm (No. 65)
Asymmetric unit:
Th  0.0000  0.0000  0.0000 (multiplicity 2)  8 In 3.30-3.36, 4 Cd 3.41
Cd  0.0000  0.3239  0.0000 (multiplicity 4)  2 Cd 3.13, 8 In 3.17-3.41, 2 Th 3.41
In  0.0000  0.1712  0.5000 (multiplicity 4)  6 Cd 3.17-3.30, 4 In 3.22-3.36, 2 Th 3.36
In  0.0000  0.5000  0.5000 (multiplicity 2)  4 Th 3.30, 4 In 3.36, 4 Cd 3.41

Volume, Å³ per atom: 25.564

---

# 5
First-principles (GGA-PBE) data for a relaxed structure of Th4Cd3In, as listed in the Alexandria database.

Unit cell a=11.2496 b=6.7437 c=5.8986 alpha=90.00 beta=90.00 gamma=90.00
Closest atoms and distances in Å follow each position.
Space group Pmma (No. 51)
Asymmetric unit:
Th  0.0000  0.2494  0.0000 (multiplicity 4)  4 Th 3.36-3.52, 6 Cd 3.39-3.40, 2 In 3.40
Th  0.2500  0.2493  0.3593 (multiplicity 4)  6 Cd 3.36-3.43, 4 Th 3.36-3.52, 2 In 3.38
Cd  0.0000  0.0000  0.5000 (multiplicity 2)  2 In 3.37, 8 Th 3.38-3.40, 2 Cd 3.50
Cd  0.2500  0.0000  0.8523 (multiplicity 2)  8 Th 3.36-3.43, 4 Cd 3.37-3.50
Cd  0.2500  0.5000  0.8540 (multiplicity 2)  2 Cd 3.37, 8 Th 3.37-3.43, 2 In 3.50
In  0.0000  0.5000  0.5000 (multiplicity 2)  4 Cd 3.37-3.50, 8 Th 3.38-3.40

Volume, Å³ per atom: 27.968

---

# 6
First-principles (GGA-PBE) data for a relaxed structure of ThCd17In, as listed in the Alexandria database.

Unit cell a=10.1527 b=10.1527 c=15.1685 alpha=90.00 beta=90.00 gamma=120.00
Closest atoms and distances in Å follow each position.
Space group R3m (No. 160, hexagonal axes)
Asymmetric unit:
Th  0.0000  0.0000  0.0000 (multiplicity 3)  13 Cd 3.45-3.56
Cd  0.0000  0.0000  0.2283 (multiplicity 3)  7 Cd 3.01-3.24
Cd  0.0000  0.0000  0.4267 (multiplicity 3)  4 Cd 2.97-3.01
Cd  0.0014  0.3042  0.3297 (multiplicity 18)  8 Cd 2.95-3.25
Cd  0.1746  0.3492  0.8090 (multiplicity 9)  9 Cd 2.91-3.24
Cd  0.1763  0.3526  0.1657 (multiplicity 9)  10 Cd 2.95-3.24
Cd  0.1875  0.3751  0.5142 (multiplicity 9)  8 Cd 2.91-3.25
In  0.0000  0.0000  0.6977 (multiplicity 3)  12 Cd 3.43-3.57

Volume, Å³ per atom: 23.755

---

# 7
First-principles (GGA-PBE) data for a relaxed structure of ThTlCdIn, as listed in the Alexandria database.

Unit cell a=4.6926 b=4.7780 c=4.7871 alpha=90.00 beta=90.00 gamma=90.00
Closest atoms and distances in Å follow each position.
Space group Pmmm (No. 47)
Asymmetric unit:
Th  0.0000  0.0000  0.0000 (multiplicity 1)  4 Tl 3.35, 4 In 3.35, 4 Cd 3.38
Tl  0.5000  0.5000  0.0000 (multiplicity 1)  4 Th 3.35, 4 Cd 3.35, 4 In 3.38
Cd  0.0000  0.5000  0.5000 (multiplicity 1)  4 In 3.35, 4 Tl 3.35, 4 Th 3.38
In  0.5000  0.0000  0.5000 (multiplicity 1)  4 Cd 3.35, 4 Th 3.35, 4 Tl 3.38

Volume, Å³ per atom: 26.833

---

# 8
First-principles (GGA-PBE) data for a relaxed structure of ThTlCdIn, as listed in the Alexandria database.

Unit cell a=7.5492 b=7.5492 c=7.5492 alpha=90.00 beta=90.00 gamma=90.00
Closest atoms and distances in Å follow each position.
Space group F-43m (No. 216)
Asymmetric unit:
Th  0.0000  0.0000  0.0000 (multiplicity 4)  4 Tl 3.27, 4 In 3.27
Tl  0.2500  0.2500  0.2500 (multiplicity 4)  4 Cd 3.27, 4 Th 3.27
Cd  0.0000  0.0000  0.5000 (multiplicity 4)  4 In 3.27, 4 Tl 3.27
In  0.2500  0.2500  0.7500 (multiplicity 4)  4 Th 3.27, 4 Cd 3.27

Volume, Å³ per atom: 26.890

---

| no. | energy (Ry per atom) | formation enthalpy at 0 K (eV per atom) |
| --- | --- | --- |
| 1 | -0.3780 | -0.25 |
| 2 | -0.4438 | -0.02 |
| 3 | -0.2730 | -0.23 |
| 4 | -0.2259 | -0.16 |
| 5 | -0.3322 | -0.12 |
| 6 | -0.1005 | -0.01 |
| 7 | -0.2635 | -0.23 |
| 8 | -0.2502 | -0.04 |